3
Lattice="0.000 3.394 3.394 3.394 0.000 3.394 3.394 3.394 0.000" Properties=species:S:1:pos:R:3 comment="YZnAg, optimized geometry, DFT PBE" magnetic_moment_mub_per_atom=0.000 final_energy_ev_per_fu=-10.0 ef_ev_per_atom=0.180 pbc="T T T"
Y 0.000 0.000 0.000
Zn 1.697 1.697 1.697
Ag 5.091 5.091 5.091